# 1
Hf3SiBr: optimized geometry, PBE.

Lattice parameters (Å, degrees): 4.9802 4.9802 4.9802 90.00 90.00 90.00
Positions (direct):
1 Hf 0.0000 0.0000 0.5000
2 Hf 0.0000 0.5000 0.0000
3 Hf 0.5000 0.0000 0.0000
4 Si 0.0000 0.0000 0.0000
5 Br 0.5000 0.5000 0.5000

## Properties
* E_tot: -6.81 eV/atom
* crystal system: cubic
* energy above the most stable polymorph in this dataset: 0.00 eV per formula unit
* E_form (uncorrected): 0.580 eV per atom



# 2
NdGa2Co2P: optimized geometry, PBE.

Lattice parameters (Å, degrees): 4.2424 4.2424 5.5648 90.00 90.00 90.00
Positions (direct):
1 Nd 0.0000 0.0000 0.0000
2 Ga 0.5000 0.5000 0.2391
3 Ga 0.5000 0.5000 0.7609
4 Co 0.0000 0.5000 0.5000
5 Co 0.5000 0.0000 0.5000
6 P 0.0000 0.0000 0.5000

## Properties
* E_tot: -5.57 eV/atom
* crystal system: tetragonal
* formation energy: -0.4955 eV per atom



# 3
CaRe2Br: optimized geometry, PBE.

Lattice parameters (Å, degrees): 6.6441 6.6441 6.6441 152.17 143.12 46.83
Positions (direct):
1 Ca 0.0000 0.0000 0.0000
2 Re 0.2597 0.7597 0.5000
3 Re 0.7403 0.2403 0.5000
4 Br 0.5000 0.5000 0.0000

## Properties
* E_tot: -6.56 eV/atom
* crystal system: orthorhombic
* energy above the most stable polymorph in this dataset: 2.10 eV per formula unit
* E_form (uncorrected): 0.579 eV per atom